Entry 1:
# SmGaAu4 PBE relaxed
# Formation energy = -0.38 eV/atom
# E = -0.2837 Ry/atom
# Space-group type = F-43m
data_SmGaAu4
_space_group_name_H-M_alt 'P 1'
_space_group_IT_number 1
_cell_length_a 5.6080
_cell_length_b 5.6080
_cell_length_c 5.6080
_cell_angle_alpha 60.00
_cell_angle_beta 60.00
_cell_angle_gamma 60.00
loop_
_space_group_symop_operation_xyz
'x,y,z'
loop_
_atom_site_label
_atom_site_type_symbol
_atom_site_fract_x
_atom_site_fract_y
_atom_site_fract_z
Sm1 Sm 0.0000 0.0000 0.0000
Ga1 Ga 0.7500 0.7500 0.7500
Au1 Au 0.3752 0.3752 0.3752
Au2 Au 0.3752 0.3752 0.8743
Au3 Au 0.3752 0.8743 0.3752
Au4 Au 0.8743 0.3752 0.3752


Entry 2:
# Sm3Ga4Au PBE relaxed
# Formation energy = -0.46 eV/atom
# E = -0.3050 Ry/atom
# Space-group type = Immm
data_Sm3Ga4Au
_space_group_name_H-M_alt 'P 1'
_space_group_IT_number 1
_cell_length_a 7.6938
_cell_length_b 7.6938
_cell_length_c 7.6938
_cell_angle_alpha 145.00
_cell_angle_beta 128.73
_cell_angle_gamma 63.59
loop_
_space_group_symop_operation_xyz
'x,y,z'
loop_
_atom_site_label
_atom_site_type_symbol
_atom_site_fract_x
_atom_site_fract_y
_atom_site_fract_z
Sm1 Sm 0.0000 0.0000 0.0000
Sm2 Sm 0.3207 0.8207 0.5000
Sm3 Sm 0.6793 0.1793 0.5000
Ga1 Ga 0.0792 0.3800 0.6993
Ga2 Ga 0.3193 0.6200 0.6993
Ga3 Ga 0.6807 0.3800 0.3007
Ga4 Ga 0.9208 0.6200 0.3007
Au1 Au 0.5000 0.5000 0.0000


Entry 3:
# Sm2GaAu6 PBE relaxed
# Formation energy = -0.61 eV/atom
# E = -0.3073 Ry/atom
# Space-group type = C2/m
data_Sm2GaAu6
_space_group_name_H-M_alt 'P 1'
_space_group_IT_number 1
_cell_length_a 6.3831
_cell_length_b 6.3831
_cell_length_c 5.4228
_cell_angle_alpha 90.05
_cell_angle_beta 90.05
_cell_angle_gamma 59.92
loop_
_space_group_symop_operation_xyz
'x,y,z'
loop_
_atom_site_label
_atom_site_type_symbol
_atom_site_fract_x
_atom_site_fract_y
_atom_site_fract_z
Sm1 Sm 0.1665 0.1665 0.1803
Sm2 Sm 0.8335 0.8335 0.8197
Ga1 Ga 0.5000 0.5000 0.0000
Au1 Au 0.1356 0.6820 0.3070
Au2 Au 0.3175 0.3175 0.6936
Au3 Au 0.3180 0.8644 0.6930
Au4 Au 0.6820 0.1356 0.3070
Au5 Au 0.6825 0.6825 0.3064
Au6 Au 0.8644 0.3180 0.6930


Entry 4:
# Sm2Ga3Au PBE relaxed
# Formation energy = -0.72 eV/atom
# E = -0.3201 Ry/atom
# Space-group type = Fmmm
data_Sm2Ga3Au
_space_group_name_H-M_alt 'P 1'
_space_group_IT_number 1
_cell_length_a 8.9525
_cell_length_b 8.6513
_cell_length_c 5.8750
_cell_angle_alpha 73.30
_cell_angle_beta 67.76
_cell_angle_gamma 38.94
loop_
_space_group_symop_operation_xyz
'x,y,z'
loop_
_atom_site_label
_atom_site_type_symbol
_atom_site_fract_x
_atom_site_fract_y
_atom_site_fract_z
Sm1 Sm 0.2415 0.7585 0.7585
Sm2 Sm 0.2500 0.2500 0.2500
Sm3 Sm 0.7500 0.7500 0.7500
Sm4 Sm 0.7585 0.2415 0.2415
Ga1 Ga 0.1711 0.6644 0.3356
Ga2 Ga 0.3356 0.8289 0.1711
Ga3 Ga 0.3376 0.3376 0.6624
Ga4 Ga 0.6624 0.6624 0.3376
Ga5 Ga 0.6644 0.1711 0.8289
Ga6 Ga 0.8289 0.3356 0.6644
Au1 Au 0.1694 0.1694 0.8306
Au2 Au 0.8306 0.8306 0.1694


Entry 5:
# SmGa2Au8 PBE relaxed
# Formation energy = -0.12 eV/atom
# E = -0.2563 Ry/atom
# Space-group type = P4/mmm
data_SmGa2Au8
_space_group_name_H-M_alt 'P 1'
_space_group_IT_number 1
_cell_length_a 5.6138
_cell_length_b 5.6138
_cell_length_c 8.2122
_cell_angle_alpha 90.00
_cell_angle_beta 90.00
_cell_angle_gamma 90.00
loop_
_space_group_symop_operation_xyz
'x,y,z'
loop_
_atom_site_label
_atom_site_type_symbol
_atom_site_fract_x
_atom_site_fract_y
_atom_site_fract_z
Sm1 Sm 0.0000 0.0000 0.0000
Ga1 Ga 0.0000 0.5000 0.5000
Ga2 Ga 0.5000 0.0000 0.5000
Au1 Au 0.2540 0.2540 0.2763
Au2 Au 0.2540 0.2540 0.7237
Au3 Au 0.2540 0.7460 0.2763
Au4 Au 0.2540 0.7460 0.7237
Au5 Au 0.7460 0.2540 0.2763
Au6 Au 0.7460 0.2540 0.7237
Au7 Au 0.7460 0.7460 0.2763
Au8 Au 0.7460 0.7460 0.7237


Entry 6:
# SmGa2SnAu5 PBE relaxed
# Formation energy = -0.39 eV/atom
# E = -0.2831 Ry/atom
# Space-group type = P4/mmm
data_SmGa2SnAu5
_space_group_name_H-M_alt 'P 1'
_space_group_IT_number 1
_cell_length_a 4.5170
_cell_length_b 4.5170
_cell_length_c 8.9286
_cell_angle_alpha 90.00
_cell_angle_beta 90.00
_cell_angle_gamma 90.00
loop_
_space_group_symop_operation_xyz
'x,y,z'
loop_
_atom_site_label
_atom_site_type_symbol
_atom_site_fract_x
_atom_site_fract_y
_atom_site_fract_z
Sm1 Sm 0.0000 0.0000 0.0000
Ga1 Ga 0.5000 0.5000 0.1364
Ga2 Ga 0.5000 0.5000 0.8636
Sn1 Sn 0.0000 0.0000 0.5000
Au1 Au 0.0000 0.5000 0.2750
Au2 Au 0.0000 0.5000 0.7250
Au3 Au 0.5000 0.0000 0.2750
Au4 Au 0.5000 0.0000 0.7250
Au5 Au 0.5000 0.5000 0.5000


Entry 7:
# SrSmGa2Au2 PBE relaxed
# Formation energy = -0.73 eV/atom
# E = -0.2862 Ry/atom
# Space-group type = P-3m1
data_SrSmGa2Au2
_space_group_name_H-M_alt 'P 1'
_space_group_IT_number 1
_cell_length_a 4.6567
_cell_length_b 4.6567
_cell_length_c 7.6138
_cell_angle_alpha 90.00
_cell_angle_beta 90.00
_cell_angle_gamma 120.00
loop_
_space_group_symop_operation_xyz
'x,y,z'
loop_
_atom_site_label
_atom_site_type_symbol
_atom_site_fract_x
_atom_site_fract_y
_atom_site_fract_z
Sr1 Sr 0.0000 0.0000 0.0000
Sm1 Sm 0.0000 0.0000 0.5000
Ga1 Ga 0.3333 0.6667 0.7128
Ga2 Ga 0.6667 0.3333 0.2872
Au1 Au 0.3333 0.6667 0.2857
Au2 Au 0.6667 0.3333 0.7143


Entry 8:
# SrSmGa2Au5 PBE relaxed
# Formation energy = -0.52 eV/atom
# E = -0.2737 Ry/atom
# Space-group type = P4/mmm
data_SrSmGa2Au5
_space_group_name_H-M_alt 'P 1'
_space_group_IT_number 1
_cell_length_a 4.7565
_cell_length_b 4.7565
_cell_length_c 8.6893
_cell_angle_alpha 90.00
_cell_angle_beta 90.00
_cell_angle_gamma 90.00
loop_
_space_group_symop_operation_xyz
'x,y,z'
loop_
_atom_site_label
_atom_site_type_symbol
_atom_site_fract_x
_atom_site_fract_y
_atom_site_fract_z
Sr1 Sr 0.0000 0.0000 0.0000
Sm1 Sm 0.0000 0.0000 0.5000
Ga1 Ga 0.5000 0.5000 0.3554
Ga2 Ga 0.5000 0.5000 0.6446
Au1 Au 0.0000 0.5000 0.2457
Au2 Au 0.0000 0.5000 0.7543
Au3 Au 0.5000 0.0000 0.2457
Au4 Au 0.5000 0.0000 0.7543
Au5 Au 0.5000 0.5000 0.0000


For the records above, the corresponding magnetic moment values read 0.000; 0.000; 0.000; 0.000; 0.000; 0.000; 0.000; 0.000 μB per atom.